Entry 1
A plane-wave DFT calculation with PBE was carried out for an optimized crystal structure of PmScInGa.

The structure in CIF format:
```
data_PmScInGa
_symmetry_space_group_name_H-M 'F -4 3 m'
_symmetry_Int_Tables_number 216
_symmetry_space_group_name_Hall 'F -4 2 3'
_cell_length_a 7.2518
_cell_length_b 7.2518
_cell_length_c 7.2518
_cell_angle_alpha 90.00
_cell_angle_beta 90.00
_cell_angle_gamma 90.00
loop_
_atom_site_label
_atom_site_fract_x
_atom_site_fract_y
_atom_site_fract_z
Pm1 0.0000 0.0000 0.0000
Sc1 0.0000 0.0000 0.5000
In1 0.2500 0.2500 0.7500
Ga1 0.2500 0.2500 0.2500
```

Magnetization, μB/f.u.: 0.0

---

Entry 2
A plane-wave DFT calculation with PBE was carried out for an optimized crystal structure of PmScInGa.

The structure in CIF format:
```
data_PmScInGa
_symmetry_space_group_name_H-M 'P 4 m m'
_symmetry_Int_Tables_number 99
_cell_length_a 3.5803
_cell_length_b 3.5803
_cell_length_c 7.3559
_cell_angle_alpha 90.00
_cell_angle_beta 90.00
_cell_angle_gamma 90.00
loop_
_symmetry_equiv_pos_as_xyz
'x,y,z'
'-y,x,z'
'-x,-y,z'
'y,-x,z'
'-x,y,z'
'y,x,z'
'x,-y,z'
'-y,-x,z'
loop_
_atom_site_label
_atom_site_fract_x
_atom_site_fract_y
_atom_site_fract_z
Pm1 0.0000 0.0000 0.0000
Sc1 0.0000 0.0000 0.4700
In1 0.5000 0.5000 0.7082
Ga1 0.5000 0.5000 0.2634
```

Magnetization, μB/f.u.: 0.0

---

Which of them is least stable? Easy: entry 1.